(1)
Compound: CaHgPb
Source: the Alexandria database
Functional: PBE
Structure: relaxed

Unit cell a=5.0276 b=5.0276 c=15.8018 alpha=90.00 beta=90.00 gamma=120.00
Fractional positions:
Hg 0.6667 0.3333 0.6510
Pb 0.3333 0.6667 0.5980
Ca 0.0000 0.0000 0.0000
Pb 0.6667 0.3333 0.0980
Ca 0.0000 0.0000 0.7500
Ca 0.0000 0.0000 0.5000
Hg 0.3333 0.6667 0.1510
Hg 0.3333 0.6667 0.3490
Hg 0.6667 0.3333 0.8490
Pb 0.3333 0.6667 0.9020
Ca 0.0000 0.0000 0.2500
Pb 0.6667 0.3333 0.4020

**Final energy**: -28.551 eV per cell
**Total moment**: 0.00 μB/atom
**Energy of formation from the pure elements**: -0.375 eV/atom

(2)
Compound: K2U3BiO12
Source: the Alexandria database
Functional: PBE
Structure: relaxed

Unit cell a=7.9628 b=7.9628 c=7.9628 alpha=60.88 beta=60.88 gamma=60.88
Fractional positions:
O 0.6638 0.0707 0.0707
O 0.9411 0.3070 0.3070
U 0.5000 0.0000 0.0000
O 0.3362 0.9293 0.9293
O 0.0707 0.0707 0.6638
O 0.0589 0.6930 0.6930
O 0.6930 0.0589 0.6930
O 0.9293 0.9293 0.3362
O 0.3070 0.3070 0.9411
O 0.9293 0.3362 0.9293
K 0.6717 0.6717 0.6717
O 0.3070 0.9411 0.3070
Bi 0.0000 0.0000 0.0000
U 0.0000 0.0000 0.5000
O 0.6930 0.6930 0.0589
U 0.0000 0.5000 0.0000
O 0.0707 0.6638 0.0707
K 0.3283 0.3283 0.3283

**Final energy**: -145.612 eV per cell
**Total moment**: 0.00 μB/atom
**Energy relative to the elements, uncorrected**: -2.565 eV per atom

(3)
Compound: Mg2InGe
Source: the Alexandria database
Functional: PBE
Structure: relaxed

Unit cell a=3.2936 b=3.2936 c=9.4314 alpha=79.94 beta=79.94 gamma=60.00
Fractional positions:
Mg 0.2434 0.2434 0.2697
Mg 0.7566 0.7566 0.7303
Ge 0.5000 0.5000 0.5000
In 0.0000 0.0000 0.0000

**Final energy**: -10.846 eV per cell
**Total moment**: 0.00 μB/atom
**Energy of formation from the pure elements**: -0.075 eV/atom